[1]
A relaxed structure of AsPd. Source: the Open Quantum Materials Database, functional PBE-GGA.

Total energy, eV/f.u.: -10.069

Cell lengths 3.0864, 3.0864, 4.0626 Å; angles 90.00, 90.00, 120.00 degrees
Space group P-6m2 (No. 187)
One atom of each set of equivalent atoms:
As  0.0000  0.0000  0.0000 x1
Pd  0.6667  0.3333  0.5000 x1

***

[2]
A relaxed structure of Tm2Si2O7. Source: the Open Quantum Materials Database, functional PBE-GGA.

Total energy, eV/f.u.: -90.006
Magnetic moment, μB per cell: 0.01

Cell lengths 6.530, 6.551, 11.879 Å; angles 94.38, 91.42, 92.19 degrees
Space group P-1 (No. 2)
One atom of each set of equivalent atoms:
Tm  0.048  0.327  0.114 x2
Tm  0.116  0.089  0.358 x2
Tm  0.323  0.827  0.111 x2
Tm  0.371  0.213  0.634 x2
Si  0.141  0.623  0.378 x2
Si  0.158  0.149  0.885 x2
Si  0.379  0.723  0.595 x2
Si  0.487  0.665  0.827 x2
O  0.001  0.336  0.918 x2
O  0.001  0.983  0.814 x2
O  0.041  0.228  0.578 x2
O  0.070  0.410  0.308 x2
O  0.225  0.903  0.624 x2
O  0.233  0.085  0.008 x2
O  0.286  0.568  0.488 x2
O  0.288  0.783  0.311 x2
O  0.297  0.707  0.909 x2
O  0.351  0.488  0.122 x2
O  0.356  0.211  0.815 x2
O  0.387  0.135  0.215 x2
O  0.399  0.559  0.695 x2
O  0.412  0.169  0.448 x2

***

[3]
A relaxed structure of Hf3Bi2Sb2Pd4. Source: the Open Quantum Materials Database, functional PBE-GGA.

Total energy, eV/f.u.: -73.341
Magnetic moment, μB per cell: 0.00

Cell lengths 6.387, 6.387, 12.752 Å; angles 90.00, 90.00, 90.00 degrees
Space group I-42m (No. 121)
One atom of each set of equivalent atoms:
Hf  0.000  0.000  0.000 x2
Hf  0.000  0.500  0.250 x4
Bi  0.000  0.500  0.000 x4
Sb  0.000  0.000  0.260 x4
Pd  0.239  0.239  0.867 x8

***

[4]
A relaxed structure of GaCu15. Source: the Open Quantum Materials Database, functional PBE-GGA.

Energy relative to the lowest polymorph listed for this composition, kJ/mol of atoms: 0.0

Cell lengths 3.601, 3.601, 42.345 Å; angles 90.00, 90.00, 90.00 degrees
Space group Pmma (No. 51)
One atom of each set of equivalent atoms:
Ga  0.250  0.000  0.175 x2
Cu  0.250  0.000  0.264 x2
Cu  0.250  0.000  0.350 x2
Cu  0.250  0.000  0.436 x2
Cu  0.250  0.000  0.521 x2
Cu  0.250  0.000  0.607 x2
Cu  0.250  0.000  0.693 x2
Cu  0.250  0.000  0.779 x2
Cu  0.250  0.500  0.221 x2
Cu  0.250  0.500  0.307 x2
Cu  0.250  0.500  0.393 x2
Cu  0.250  0.500  0.479 x2
Cu  0.250  0.500  0.564 x2
Cu  0.250  0.500  0.650 x2
Cu  0.250  0.500  0.736 x2
Cu  0.250  0.500  0.823 x2

***

[5]
A relaxed structure of RbPmB4. Source: the Open Quantum Materials Database, functional PBE-GGA.

Magnetic moment, μB per cell: 0.00
Energy relative to the lowest polymorph listed for this composition, kJ/mol of atoms: 0.0

Cell lengths 3.132, 8.107, 8.117 Å; angles 90.00, 90.00, 90.00 degrees
Space group Immm (No. 71)
One atom of each set of equivalent atoms:
Rb  0.000  0.000  0.000 x2
Pm  0.000  0.500  0.000 x2
B  0.000  0.245  0.262 x8

***

[6]
A relaxed structure of Nd5ErTe6. Source: the Open Quantum Materials Database, functional PBE-GGA.

Total energy, eV/f.u.: -63.921
Magnetic moment, μB per cell: 0.01

Cell lengths 7.742, 13.413, 7.717 Å; angles 90.00, 109.44, 90.00 degrees
Space group C2/m (No. 12)
One atom of each set of equivalent atoms:
Nd  0.000  0.000  0.000 x2
Nd  0.000  0.168  0.500 x4
Nd  0.000  0.324  0.000 x4
Er  0.000  0.500  0.500 x2
Te  0.239  0.500  0.250 x4
Te  0.242  0.339  0.743 x8

***

[7]
A relaxed structure of Nd3Zr4. Source: the Open Quantum Materials Database, functional PBE-GGA.

Magnetic moment, μB per cell: 0.03
Calculated formation energy, eV per atom: 0.1456
Energy relative to the lowest polymorph listed for this composition, kJ/mol of atoms: 1.9

Cell lengths 9.0671, 9.0671, 5.4630 Å; angles 90.00, 90.00, 120.00 degrees
Space group P6_3/m (No. 176)
One atom of each set of equivalent atoms:
Nd  0.0948  0.4607  0.2500 x6
Zr  0.0518  0.2194  0.7500 x6
Zr  0.3333  0.6667  0.7500 x2

***

[8]
A relaxed structure of TlAgGeO3. Source: the Open Quantum Materials Database, functional PBE-GGA.

Total energy, eV/f.u.: -30.153

Cell lengths 10.576, 3.047, 10.445 Å; angles 90.00, 90.00, 90.00 degrees
Space group Pnma (No. 62)
One atom of each set of equivalent atoms:
Tl  0.217  0.250  0.117 x4
Ag  0.060  0.250  0.903 x4
Ge  0.018  0.250  0.373 x4
O  0.090  0.250  0.536 x4
O  0.107  0.750  0.309 x4
O  0.109  0.750  0.747 x4

***

Repeat the fifth record exactly.
A relaxed structure of RbPmB4. Source: the Open Quantum Materials Database, functional PBE-GGA.

Magnetic moment, μB per cell: 0.00
Energy relative to the lowest polymorph listed for this composition, kJ/mol of atoms: 0.0

Cell lengths 3.132, 8.107, 8.117 Å; angles 90.00, 90.00, 90.00 degrees
Space group Immm (No. 71)
One atom of each set of equivalent atoms:
Rb  0.000  0.000  0.000 x2
Pm  0.000  0.500  0.000 x2
B  0.000  0.245  0.262 x8